# CeBe2CrN4

A relaxed structure of CeBe2CrN4 (PBE-GGA, Alexandria via LeMat-Bulk).

Cell: 6.1488 6.1488 8.8669 Å, 90.00 90.00 150.41°
Last column: nearest neighbours and their distance in Å.
Sites, in units of the cell vectors:
1 Ce 0.0564 0.9436 0.7500  6 N 2.32-2.53
2 Ce 0.9436 0.0564 0.2500  6 N 2.32-2.53
3 Be 0.4071 0.5929 0.5398  1 N 1.66
4 Be 0.4071 0.5929 0.9602  1 N 1.66
5 Be 0.5929 0.4071 0.0398  1 N 1.66
6 Be 0.5929 0.4071 0.4602  1 N 1.66
7 Cr 0.2230 0.7770 0.2500  2 N 1.71
8 Cr 0.7770 0.2230 0.7500  2 N 1.71
9 N 0.0000 0.0000 0.0000  4 Be 1.95
10 N 0.0000 0.0000 0.5000  4 Be 1.95
11 N 0.3175 0.6825 0.1043  1 Be 1.66, 1 Cr 1.71
12 N 0.3175 0.6825 0.3957  1 Be 1.66, 1 Cr 1.71
13 N 0.3802 0.6198 0.7500  2 Be 1.89, 2 Cr 1.99
14 N 0.6198 0.3802 0.2500  2 Be 1.89, 2 Cr 1.99
15 N 0.6825 0.3175 0.6043  1 Be 1.66, 1 Cr 1.71
16 N 0.6825 0.3175 0.8957  1 Be 1.66, 1 Cr 1.71

The value obtained for the uncorrected formation energy is -672 meV per atom. The calculated volume is 10.35 Å³ per atom. The value obtained for the theoretical density is 5.34 g cm⁻³. The space-group type is No. 63.